Entry from Alexandria via LeMat-Bulk: an optimized crystal structure of BaZrTa3 (PBE).

## Properties
M_tot in μB per atom: 0.000
Energy in eV per atom: -6.5531
Theoretical density in g cm⁻³: 9.9
Formation energy from the elements in meV/atom: 2653
Distance to the lowest polymorph of the same formula in meV per atom: 1004.0

Structure (extended XYZ):
```
5
Lattice="5.0544 0.0000 0.0000 0.0000 5.0544 0.0000 0.0000 0.0000 5.0544" Properties=species:S:1:pos:R:3 pbc="T T T"
Ta 0.0000 2.5272 0.0000
Ba 0.0000 0.0000 0.0000
Ta 0.0000 0.0000 2.5272
Zr 2.5272 2.5272 2.5272
Ta 2.5272 0.0000 0.0000
```

Entry from Alexandria via LeMat-Bulk: an optimized crystal structure of AlTl2InCl6 (PBE).

## Properties
M_tot in μB per atom: 0.000
Energy in eV per atom: -3.4057
Theoretical density in g cm⁻³: 4.2

Structure (extended XYZ):
```
10
Lattice="-7.6976 -0.8800 -1.1432 -2.6309 -5.1752 -5.2553 -3.5930 -6.0409 1.8748" Properties=species:S:1:pos:R:3 pbc="T T T"
Cl -5.0843 -7.3323 -0.9706
Cl -2.5302 -2.0431 0.2365
Al -3.4507 -2.2254 -1.9262
Cl -5.4094 -3.1608 -1.0070
Tl -6.9438 -5.4388 -2.8708
In -10.4108 -8.2713 -4.1898
Tl -3.5512 -5.0538 0.8919
Cl -2.5252 -4.3846 -2.1304
Cl -7.9688 -6.1078 0.1539
Cl -7.9641 -8.4499 -2.2135
```

Entry from Alexandria via LeMat-Bulk: an optimized crystal structure of Na2HfZn (PBE).

## Properties
M_tot in μB per atom: 0.131
Energy in eV per atom: -2.6869
Theoretical density in g cm⁻³: 4.8
Formation energy from the elements in meV/atom: 779

Structure (extended XYZ):
```
8
Lattice="-7.6677 0.8512 -3.4496 -0.3694 -8.3513 -1.2395 -5.1884 -4.0725 0.1763" Properties=species:S:1:pos:R:3 pbc="T T T"
Hf -8.4373 -3.4857 -2.8089
Na -5.7986 -1.5675 -2.1153
Na -10.9075 -9.2500 -3.9163
Na -2.8234 -6.0939 -1.3134
Hf 0.0000 0.0000 0.0000
Zn -4.7882 -8.0869 -1.7039
Na -6.9215 -6.2339 -1.6807
Zn -4.0185 -3.7501 -2.3445
```

Q: Among the records above, which one has the lowest energy?
A: BaZrTa3

Q: Among the records above, which one has the highest theoretical density?
A: BaZrTa3

Q: Which of these has the highest energy?
A: Na2HfZn

Q: Among the records above, which one has the highest theoretical density?
A: BaZrTa3